Here is a geometry-optimized MnSi2F structure from Alexandria via LeMat-Bulk. Energies are from PBE with a Hubbard U.

VASP energy ... -5.1622 eV/atom
V ... 20.00 Å³/atom

CIF file:
```
data_MnSi2F
_chemical_formula_sum 'Mn4 Si8 F4'
_cell_length_a 9.013
_cell_length_b 9.013
_cell_length_c 3.940
_cell_angle_alpha 90.00
_cell_angle_beta 90.00
_cell_angle_gamma 90.00
_symmetry_space_group_name_H-M 'I -4 2 d'
_symmetry_Int_Tables_number 122
_symmetry_space_group_name_Hall 'I -4 2bw'
loop_
_atom_site_label
_atom_site_type_symbol
_atom_site_fract_x
_atom_site_fract_y
_atom_site_fract_z
_atom_site_occupancy
Mn1 Mn 0.000 0.000 0.000 1
Si1 Si 0.184 0.250 0.625 1
F1 F 0.000 0.000 0.500 1
```